[1]
{
  "formula": "Sm2Al3Zn6",
  "functional": "PBE-GGA",
  "state": "relaxed",
  "cell": [[5.083, -5.265, 0.000], [5.083, 5.265, 0.000], [0.000, 0.000, 4.056]],
  "species": ["Sm", "Sm", "Al", "Al", "Al", "Zn", "Zn", "Zn", "Zn", "Zn", "Zn"],
  "frac_coords": [[0.219, 0.781, 0.000], [0.781, 0.219, 0.000], [0.296, 0.296, 0.000], [0.500, 0.500, 0.500], [0.704, 0.704, 0.000], [0.115, 0.115, 0.500], [0.153, 0.458, 0.500], [0.458, 0.153, 0.500], [0.542, 0.847, 0.500], [0.847, 0.542, 0.500], [0.885, 0.885, 0.500]],
  "spacegroup": "Cmmm, No. 65",
  "dos_at_fermi_per_ev_atom": 0.41
}


[2]
{
  "formula": "CeErGa4",
  "functional": "PBE-GGA",
  "state": "relaxed",
  "cell": [[4.244, 0.000, 0.000], [-2.122, 3.676, 0.000], [0.000, 0.000, 8.199]],
  "species": ["Ce", "Er", "Ga", "Ga", "Ga", "Ga"],
  "frac_coords": [[0.000, 0.000, 0.000], [0.000, 0.000, 0.500], [0.333, 0.667, 0.255], [0.333, 0.667, 0.745], [0.667, 0.333, 0.255], [0.667, 0.333, 0.745]],
  "de_polymorph_mev_per_atom": 0,
  "spacegroup": "P6/mmm, No. 191",
  "dos_at_fermi_per_ev_atom": 1.01
}


[3]
{
  "formula": "AsRu2Se",
  "functional": "PBE-GGA",
  "state": "relaxed",
  "cell": [[4.574, -1.543, 0.000], [4.574, 1.543, 0.000], [-0.953, 0.000, 4.337]],
  "species": ["As", "Ru", "Ru", "Se"],
  "frac_coords": [[0.000, 0.000, 0.000], [0.266, 0.266, 0.880], [0.495, 0.495, 0.505], [0.758, 0.758, 0.418]],
  "de_polymorph_mev_per_atom": 109,
  "spacegroup": "Cm, No. 8",
  "dos_at_fermi_per_ev_atom": 0.76
}


Quick rundown of total energy, same order as above: -2.76 -4.37 -6.61 eV/atom
Quick rundown of magnetization, same order as above: 0.0 0.6 0.0 Bohr magnetons per cell